Record 1
# PBE Ho3Zn9Co2, relaxed
data_Ho3Zn9Co2
_chemical_formula_sum 'Ho6 Zn18 Co4'
_space_group_name_H-M_alt 'I m m m'
_space_group_IT_number 71
_space_group_name_Hall '-I 2 2'
_cell_length_a 4.285
_cell_length_b 9.156
_cell_length_c 12.130
_cell_angle_alpha 90.00
_cell_angle_beta 90.00
_cell_angle_gamma 90.00
loop_
_atom_site_label
_atom_site_type_symbol
_atom_site_fract_x
_atom_site_fract_y
_atom_site_fract_z
_atom_site_occupancy
Ho1 Ho 0.000 0.000 0.000 1
Ho2 Ho 0.000 0.000 0.308 1
Zn1 Zn 0.000 0.279 0.123 1
Zn2 Zn 0.000 0.359 0.346 1
Zn3 Zn 0.000 0.500 0.000 1
Co1 Co 0.000 0.171 0.500 1
# Formation energy (eV per atom): -0.272
# DFT total energy (eV/atom): -3.087


Record 2
# PBE CePmLuIn, relaxed
data_CePmLuIn
_chemical_formula_sum 'Ce4 Pm4 Lu4 In4'
_space_group_name_H-M_alt 'F -4 3 m'
_space_group_IT_number 216
_space_group_name_Hall 'F -4 2 3'
_cell_length_a 7.645
_cell_length_b 7.645
_cell_length_c 7.645
_cell_angle_alpha 90.00
_cell_angle_beta 90.00
_cell_angle_gamma 90.00
loop_
_atom_site_label
_atom_site_type_symbol
_atom_site_fract_x
_atom_site_fract_y
_atom_site_fract_z
_atom_site_occupancy
Ce1 Ce 0.000 0.000 0.000 1
Pm1 Pm 0.250 0.250 0.250 1
Lu1 Lu 0.250 0.250 0.750 1
In1 In 0.000 0.000 0.500 1
# Formation energy (eV per atom): -0.063
# DFT total energy (eV/atom): -4.549


Record 3
# PBE Sm5HoTe4, relaxed
data_Sm5HoTe4
_chemical_formula_sum 'Sm10 Ho2 Te8'
_space_group_name_H-M_alt 'C 1 2/m 1'
_space_group_IT_number 12
_space_group_name_Hall '-C 2y'
_cell_length_a 18.548
_cell_length_b 4.234
_cell_length_c 8.606
_cell_angle_alpha 90.00
_cell_angle_beta 101.96
_cell_angle_gamma 90.00
loop_
_atom_site_label
_atom_site_type_symbol
_atom_site_fract_x
_atom_site_fract_y
_atom_site_fract_z
_atom_site_occupancy
Sm1 Sm 0.000 0.000 0.000 1
Sm2 Sm 0.166 0.500 0.299 1
Sm3 Sm 0.185 0.500 0.858 1
Ho1 Ho 0.000 0.000 0.500 1
Te1 Te 0.009 0.500 0.749 1
Te2 Te 0.165 0.000 0.572 1
# DFT total energy (eV/atom): -5.044
# Uncorrected formation energy (eV per formula unit): -9.7